VASP calculation (PBE+U) on Cs2TlCrO4 after structural relaxation.

VASP energy = -5.32 eV/atom
Crystal system = tetragonal
Magnetization = 0.125 μB per atom

abc: 6.2625 6.2625 6.2625
angles: 113.79 113.79 101.15
Last column: nearest neighbours and their distance in Å.
Fractional coordinates of all 8 atoms:
Cs  0.0000  0.0000  0.0000  8 O 3.36-3.53
Cs  0.7500  0.2500  0.5000  4 O 2.97
Tl  0.2500  0.7500  0.5000  4 O 2.65
Cr  0.5000  0.5000  0.0000  4 O 1.74
O  0.2502  0.5486  0.0385  1 Cr 1.74
O  0.4514  0.4899  0.7016  1 Cr 1.74
O  0.5101  0.2117  0.9615  1 Cr 1.74
O  0.7883  0.7498  0.2984  1 Cr 1.74